1.
A plane-wave DFT calculation with PBE was carried out for a relaxed structure of CdPtPb2.

ΔE_f ... -0.095 eV per atom
Magnetic moment ... 0.00 μB per formula unit
D(E_F) ... 0.38 states/eV per atom

abc: 5.2457 5.2457 6.3974
angles: 111.88 111.88 41.81
With the nearest neighbours (Å) after each atom.
Positions (direct):
Cd: 0.0000 0.0000 0.0000  3 Pt 2.81
Pt: 0.2870 0.2870 0.0011  3 Cd 2.81, 4 Pb 2.81-2.84
Pb: 0.6184 0.6184 0.6619  2 Pt 2.84
Pb: 0.8041 0.8041 0.3376  2 Pt 2.81



2.
A plane-wave DFT calculation with PBE was carried out for a relaxed structure of La2Zn4InPt3.

ΔE_f ... -0.710 eV per atom
Magnetic moment ... 0.00 μB per formula unit
D(E_F) ... 0.63 states/eV per atom

abc: 4.1656 4.1656 11.7509
angles: 90.00 90.00 90.00
With the nearest neighbours (Å) after each atom.
Positions (direct):
La: 0.0000 0.5000 0.2355  4 Pt 3.16, 8 Zn 3.27-3.46
La: 0.5000 0.0000 0.7645  4 Pt 3.16, 8 Zn 3.27-3.46
Zn: 0.0000 0.0000 0.0000  4 Pt 2.64, 4 Zn 2.95
Zn: 0.0000 0.5000 0.6439  3 Pt 2.56-2.68, 2 In 2.68
Zn: 0.5000 0.0000 0.3561  3 Pt 2.56-2.68, 2 In 2.68
Zn: 0.5000 0.5000 0.0000  4 Pt 2.64, 4 Zn 2.95
In: 0.0000 0.0000 0.5000  4 Zn 2.68, 4 Pt 2.95
Pt: 0.0000 0.5000 0.8620  5 Zn 2.56-2.64
Pt: 0.5000 0.0000 0.1380  5 Zn 2.56-2.64
Pt: 0.5000 0.5000 0.5000  4 Zn 2.68, 4 In 2.95



3.
A plane-wave DFT calculation with PBE was carried out for a relaxed structure of SnAs2Au2.

ΔE to the lowest computed polymorph ... 0 meV/atom
ΔE_f ... 0.120 eV per atom
Magnetic moment ... 0.00 μB per formula unit
D(E_F) ... 0.44 states/eV per atom

abc: 7.1351 7.1351 7.1351
angles: 146.65 146.65 47.89
With the nearest neighbours (Å) after each atom.
Positions (direct):
Sn: 0.0000 0.0000 0.0000  8 Au 3.20
As: 0.2500 0.7500 0.5000  4 Au 2.79, 4 As 2.90
As: 0.7500 0.2500 0.5000  4 Au 2.79, 4 As 2.90
Au: 0.3958 0.3958 0.0000  1 Au 2.72, 4 As 2.79
Au: 0.6042 0.6042 0.0000  1 Au 2.72, 4 As 2.79



4.
A plane-wave DFT calculation with PBE was carried out for a relaxed structure of NaPaAgO4.

Uncorrected formation energy ... -2133 meV per atom
Magnetic moment ... 1.00 μB per formula unit
D(E_F) ... 0.09 states/eV per atom

abc: 7.0440 7.0440 7.0440
angles: 126.18 120.76 84.16
With the nearest neighbours (Å) after each atom.
Positions (direct):
Na: 0.4093 0.1593 0.2500  4 O 2.35-2.42
Na: 0.5907 0.8407 0.7500  4 O 2.35-2.42
Pa: 0.0000 0.5000 0.5000  6 O 2.20-2.21
Pa: 0.5000 0.5000 0.0000  6 O 2.20-2.21
Ag: 0.0000 0.0000 0.5000  4 O 2.22
Ag: 0.0000 0.5000 0.0000  4 O 2.22
O: 0.1726 0.7097 0.4629  1 Pa 2.21, 2 Ag 2.22, 1 Na 2.42
O: 0.2532 0.2903 0.9629  1 Pa 2.21, 2 Ag 2.22, 1 Na 2.42
O: 0.2730 0.3160 0.5430  2 Pa 2.20, 1 Na 2.35
O: 0.2730 0.7300 0.9570  2 Pa 2.20, 1 Na 2.35
O: 0.7270 0.2700 0.0430  2 Pa 2.20, 1 Na 2.35
O: 0.7270 0.6840 0.4570  2 Pa 2.20, 1 Na 2.35
O: 0.7468 0.7097 0.0371  1 Pa 2.21, 2 Ag 2.22, 1 Na 2.42
O: 0.8274 0.2903 0.5371  1 Pa 2.21, 2 Ag 2.22, 1 Na 2.42



5.
A plane-wave DFT calculation with PBE was carried out for a relaxed structure of LaInRu.

ΔE_f ... -0.080 eV per atom
Magnetic moment ... 0.00 μB per formula unit
D(E_F) ... 0.36 states/eV per atom

abc: 4.1041 4.1041 5.3418
angles: 90.00 90.00 120.00
With the nearest neighbours (Å) after each atom.
Positions (direct):
La: 0.0000 0.0000 0.0000  3 Ru 2.80
In: 0.3333 0.6667 0.5250  3 Ru 2.71
Ru: 0.6667 0.3333 0.2803  3 In 2.71, 3 La 2.80



6.
A plane-wave DFT calculation with PBE was carried out for a relaxed structure of SrAlSnHg2.

ΔE_f ... -0.141 eV per atom
Magnetic moment ... 0.00 μB per formula unit
D(E_F) ... 0.45 states/eV per atom

abc: 5.2276 5.2276 5.4814
angles: 90.00 90.00 90.00
With the nearest neighbours (Å) after each atom.
Positions (direct):
Sr: 0.0000 0.0000 0.0000  4 Sn 3.70, 8 Hg 3.79
Al: 0.5000 0.5000 0.5000  4 Hg 2.61, 2 Sn 2.74
Sn: 0.5000 0.5000 0.0000  2 Al 2.74
Hg: 0.0000 0.5000 0.5000  2 Al 2.61
Hg: 0.5000 0.0000 0.5000  2 Al 2.61



7.
A plane-wave DFT calculation with PBE was carried out for a relaxed structure of In8SnBi6.

ΔE_f ... 0.051 eV per atom
Magnetic moment ... 0.00 μB per formula unit
D(E_F) ... 0.33 states/eV per atom

abc: 9.1891 9.1891 9.1891
angles: 56.35 56.35 56.35
With the nearest neighbours (Å) after each atom.
Positions (direct):
In: 0.0383 0.7098 0.3779  4 Bi 3.16-3.24, 3 In 3.47-3.49
In: 0.1681 0.1681 0.1681  6 Bi 3.32
In: 0.2902 0.6221 0.9617  4 Bi 3.16-3.24, 3 In 3.47-3.49
In: 0.3779 0.0383 0.7098  4 Bi 3.16-3.24, 3 In 3.47-3.49
In: 0.6221 0.9617 0.2902  4 Bi 3.16-3.24, 3 In 3.47-3.49
In: 0.7098 0.3779 0.0383  4 Bi 3.16-3.24, 3 In 3.47-3.49
In: 0.8319 0.8319 0.8319  6 Bi 3.32
In: 0.9617 0.2902 0.6221  4 Bi 3.16-3.24, 3 In 3.47-3.49
Sn: 0.5000 0.5000 0.5000  6 Bi 3.25
Bi: 0.1052 0.4287 0.7604  6 In 3.16-3.32, 1 Sn 3.25
Bi: 0.2396 0.8948 0.5713  6 In 3.16-3.32, 1 Sn 3.25
Bi: 0.4287 0.7604 0.1052  6 In 3.16-3.32, 1 Sn 3.25
Bi: 0.5713 0.2396 0.8948  6 In 3.16-3.32, 1 Sn 3.25
Bi: 0.7604 0.1052 0.4287  6 In 3.16-3.32, 1 Sn 3.25
Bi: 0.8948 0.5713 0.2396  6 In 3.16-3.32, 1 Sn 3.25



8.
A plane-wave DFT calculation with PBE was carried out for a relaxed structure of ScCr2.

ΔE_f ... 0.353 eV per atom
Magnetic moment ... 0.00 μB per formula unit
D(E_F) ... 1.12 states/eV per atom

abc: 4.1924 4.1924 2.8734
angles: 90.00 90.00 120.00
With the nearest neighbours (Å) after each atom.
Positions (direct):
Sc: 0.0000 0.0000 0.0000  6 Cr 2.66, 2 Sc 2.87
Cr: 0.3333 0.6667 0.3857  3 Cr 2.51, 3 Sc 2.66
Cr: 0.6667 0.3333 0.6143  3 Cr 2.51, 3 Sc 2.66